CaNClO2 SCAN single point on PBEsol structure; total magnetization = 6.00 μB per formula unit; space-group type = P4/mmm (123); total energy = -7.5265 eV per atom; N(E_F) = 0.549 states/eV per atom
1.0
4.4814 0.0000 0.0000
0.0000 4.4814 0.0000
0.0000 0.0000 4.9062
N Cl O Ca
1 1 2 1
Cartesian
0.0000 0.0000 2.4531
2.2407 2.2407 2.4531
0.0000 2.2407 0.0000
2.2407 0.0000 0.0000
0.0000 0.0000 0.0000

Ag2Pt SCAN single point on PBEsol structure; excess energy over the best structure of this formula in the dataset = 0 meV/atom; total magnetization = 0.00 μB per formula unit; ΔH_f (0 K) = -0.0092 eV/atom; space-group type = C2 (5); total energy = -44.3183 eV per atom; N(E_F) = 0.276 states/eV per atom
1.0
5.6248 -0.0055 0.0021
0.0068 5.6248 0.0021
1.4149 1.4118 6.0131
Ag Pt
8 4
Cartesian
4.2247 1.3994 1.9963
5.6379 2.8095 4.0210
2.7994 2.8261 0.0021
4.2188 7.0195 5.9931
0.0195 5.6121 0.0021
4.2244 4.2212 2.0213
0.0178 2.8277 0.0243
2.8161 2.8160 3.9960
1.4068 4.2300 2.0528
2.8134 5.6336 3.9646
1.4099 1.3858 2.0216
5.6577 5.6242 3.9958

K3NaP4H4O14 SCAN single point on PBEsol structure; excess energy over the best structure of this formula in the dataset = 0 meV/atom; total magnetization = 0.00 μB per formula unit; space-group type = Cc (9); total energy = -8.7997 eV per atom; N(E_F) = 0.000 states/eV per atom
1.0
7.1849 0.0002 -0.0002
-3.5923 8.4363 0.0163
-0.0003 -1.9288 10.9390
O Na P H K
28 2 8 8 6
Cartesian
3.1141 0.2174 1.7029
4.0708 -0.7471 7.1715
2.8299 6.6448 10.0163
-1.4607 5.6212 5.4151
5.0780 0.8973 5.5199
0.4843 6.3362 9.2060
-2.2200 5.7366 2.9558
-0.5811 3.1606 7.5393
4.6927 4.2646 8.7192
3.3589 3.5095 6.6334
4.1754 3.3581 3.4265
2.4917 5.2288 3.2502
-0.2457 2.0318 9.7975
0.2453 2.9960 4.3283
2.2192 4.7719 8.4255
1.1039 1.2910 7.7141
-0.4835 7.2993 3.7364
3.0101 2.3933 8.8958
3.8249 4.4737 1.1641
6.4413 -1.0992 6.4017
0.5798 4.1254 2.0703
-1.1040 2.2550 2.2448
1.4604 4.6577 10.8850
0.7435 -0.1344 0.9330
2.1075 1.8616 0.0508
5.8158 0.7788 7.9875
1.3694 1.7437 2.5184
-2.8287 7.6096 4.5473
-1.7903 3.2623 5.4802
1.7897 4.2271 0.0107
-1.7111 6.5523 4.2689
1.8242 0.9292 1.1862
3.4066 3.7111 8.1179
1.7113 5.5883 9.7385
3.7777 4.6756 2.6486
0.1852 2.8041 2.8435
-0.1855 1.8397 8.3127
5.3610 -0.0354 6.6551
4.9507 2.8428 2.8996
-1.3564 3.6749 8.0645
3.5241 6.4990 10.8895
-3.5236 7.4632 5.4199
1.3552 4.6397 2.5951
4.1665 -1.3700 8.0979
2.2345 1.8781 8.3693
3.0185 -0.4062 2.6287
2.3942 1.4396 5.1862
5.7465 -0.4823 2.7365
-2.1541 6.9893 8.2215
4.7906 0.4754 10.6555
1.2273 5.0709 5.7613
-1.2277 6.0351 0.2921

Please write out number 2 again, unchanged.
Ag2Pt SCAN single point on PBEsol structure; excess energy over the best structure of this formula in the dataset = 0 meV/atom; total magnetization = 0.00 μB per formula unit; ΔH_f (0 K) = -0.0092 eV/atom; space-group type = C2 (5); total energy = -44.3183 eV per atom; N(E_F) = 0.276 states/eV per atom
1.0
5.6248 -0.0055 0.0021
0.0068 5.6248 0.0021
1.4149 1.4118 6.0131
Ag Pt
8 4
Cartesian
4.2247 1.3994 1.9963
5.6379 2.8095 4.0210
2.7994 2.8261 0.0021
4.2188 7.0195 5.9931
0.0195 5.6121 0.0021
4.2244 4.2212 2.0213
0.0178 2.8277 0.0243
2.8161 2.8160 3.9960
1.4068 4.2300 2.0528
2.8134 5.6336 3.9646
1.4099 1.3858 2.0216
5.6577 5.6242 3.9958